{"formula": "NaSnIO2", "functional": "GGA-PBE", "state": "optimized geometry", "spacegroup": "P4/mmm (123)", "magnetic_moment_mub_per_atom": 0.400, "e_form_raw_mev_per_atom": 147.3, "polymorph_energy_mev_per_atom": 1087, "lattice_angstrom": [[4.504, 0.000, 0.000], [0.000, 4.504, 0.000], [0.000, 0.000, 5.695]], "species": ["Na", "Sn", "I", "O", "O"], "frac_coords": [[0.000, 0.000, 0.000], [0.500, 0.500, 0.500], [0.000, 0.000, 0.500], [0.000, 0.500, 0.000], [0.500, 0.000, 0.000]]}

{"formula": "NaSnI2O", "functional": "GGA-PBE", "state": "optimized geometry", "spacegroup": "P4/mmm (123)", "magnetic_moment_mub_per_atom": 0.232, "e_form_raw_mev_per_atom": -125.4, "polymorph_energy_mev_per_atom": 664, "lattice_angstrom": [[5.870, 0.000, 0.000], [0.000, 5.870, 0.000], [0.000, 0.000, 4.296]], "species": ["Na", "Sn", "I", "I", "O"], "frac_coords": [[0.000, 0.000, 0.000], [0.500, 0.500, 0.500], [0.000, 0.500, 0.000], [0.500, 0.000, 0.000], [0.000, 0.000, 0.500]]}

{"formula": "NaSnIO6", "functional": "GGA-PBE", "state": "optimized geometry", "spacegroup": "P-31c (163)", "magnetic_moment_mub_per_atom": 0.000, "e_form_raw_mev_per_atom": -1011.0, "lattice_angstrom": [[5.343, 0.000, 0.000], [-2.671, 4.627, 0.000], [0.000, 0.000, 10.394]], "species": ["Na", "Na", "Sn", "Sn", "I", "I", "O", "O", "O", "O", "O", "O", "O", "O", "O", "O", "O", "O"], "frac_coords": [[0.000, 0.000, 0.000], [0.000, 0.000, 0.500], [0.333, 0.667, 0.250], [0.667, 0.333, 0.750], [0.333, 0.667, 0.750], [0.667, 0.333, 0.250], [0.026, 0.387, 0.644], [0.026, 0.639, 0.856], [0.361, 0.387, 0.856], [0.361, 0.974, 0.644], [0.387, 0.026, 0.144], [0.387, 0.361, 0.356], [0.613, 0.639, 0.644], [0.613, 0.974, 0.856], [0.639, 0.026, 0.356], [0.639, 0.613, 0.144], [0.974, 0.361, 0.144], [0.974, 0.613, 0.356]]}

{"formula": "NaSr2IO6", "functional": "GGA-PBE", "state": "optimized geometry", "spacegroup": "R-3 (148)", "magnetic_moment_mub_per_atom": 0.000, "e_form_raw_mev_per_atom": -1791.4, "polymorph_energy_mev_per_atom": 9, "lattice_angstrom": [[2.954, 1.705, 4.662], [-2.954, 1.705, 4.662], [0.000, -3.411, 4.662]], "species": ["Na", "Sr", "Sr", "I", "O", "O", "O", "O", "O", "O"], "frac_coords": [[0.000, 0.000, 0.000], [0.253, 0.253, 0.253], [0.747, 0.747, 0.747], [0.500, 0.500, 0.500], [0.204, 0.346, 0.714], [0.286, 0.796, 0.654], [0.346, 0.714, 0.204], [0.654, 0.286, 0.796], [0.714, 0.204, 0.346], [0.796, 0.654, 0.286]]}

What did the fourth record say?
{"formula": "NaSr2IO6", "functional": "GGA-PBE", "state": "optimized geometry", "spacegroup": "R-3 (148)", "magnetic_moment_mub_per_atom": 0.000, "e_form_raw_mev_per_atom": -1791.4, "polymorph_energy_mev_per_atom": 9, "lattice_angstrom": [[2.954, 1.705, 4.662], [-2.954, 1.705, 4.662], [0.000, -3.411, 4.662]], "species": ["Na", "Sr", "Sr", "I", "O", "O", "O", "O", "O", "O"], "frac_coords": [[0.000, 0.000, 0.000], [0.253, 0.253, 0.253], [0.747, 0.747, 0.747], [0.500, 0.500, 0.500], [0.204, 0.346, 0.714], [0.286, 0.796, 0.654], [0.346, 0.714, 0.204], [0.654, 0.286, 0.796], [0.714, 0.204, 0.346], [0.796, 0.654, 0.286]]}

Repeat the second record exactly.
{"formula": "NaSnI2O", "functional": "GGA-PBE", "state": "optimized geometry", "spacegroup": "P4/mmm (123)", "magnetic_moment_mub_per_atom": 0.232, "e_form_raw_mev_per_atom": -125.4, "polymorph_energy_mev_per_atom": 664, "lattice_angstrom": [[5.870, 0.000, 0.000], [0.000, 5.870, 0.000], [0.000, 0.000, 4.296]], "species": ["Na", "Sn", "I", "I", "O"], "frac_coords": [[0.000, 0.000, 0.000], [0.500, 0.500, 0.500], [0.000, 0.500, 0.000], [0.500, 0.000, 0.000], [0.000, 0.000, 0.500]]}